The following is a meta-GGA SCAN calculation of TcAsIr4 at its PBEsol-relaxed geometry, from the Alexandria database.

It has space group F-43m (No. 216), with a = 7.243 Å, b = 7.243 Å, c = 7.243 Å, α = 90.00°, β = 90.00° and γ = 90.00°. Symmetry generates all atoms from Tc at (0.000, 0.000, 0.000), As at (0.250, 0.250, 0.250) and Ir at (0.125, 0.125, 0.625).

The calculation puts the magnetization at 3.58 μB/f.u. Its formation energy is 0.69 eV per atom.



The following is a meta-GGA SCAN calculation of Tl3AsN at its PBEsol-relaxed geometry, from the Alexandria database.

It has space group Pm-3m (No. 221), with a = 4.828 Å, b = 4.828 Å, c = 4.828 Å, α = 90.00°, β = 90.00° and γ = 90.00°. Symmetry generates all atoms from Tl at (0.000, 0.000, 0.500), As at (0.500, 0.500, 0.500) and N at (0.000, 0.000, 0.000).

The calculation puts the magnetization at 0.00 μB/f.u. The energy relative to the elements, uncorrected is 69 kJ/mol of atoms.



The following is a meta-GGA SCAN calculation of Cs6Ge2O7 at its PBEsol-relaxed geometry, from the Alexandria database.

It has space group P2_1/c (No. 14), with a = 7.140 Å, b = 9.745 Å, c = 11.991 Å, α = 90.00°, β = 125.29° and γ = 90.00°. Symmetry generates all atoms from Cs at (0.030, 0.146, 0.413), Cs at (0.208, 0.526, 0.456), Cs at (0.391, 0.218, 0.277), Ge at (0.327, 0.635, 0.874), O at (0.078, 0.658, 0.871), O at (0.265, 0.580, 0.716), O at (0.496, 0.218, 0.065) and O at (0.500, 0.000, 0.500).

The calculation puts the magnetization at 0.00 μB/f.u. The energy relative to the elements, uncorrected is -177 kJ/mol of atoms.



The following is a meta-GGA SCAN calculation of ScAgBi2 at its PBEsol-relaxed geometry, from the Alexandria database.

It has space group I-42d (No. 122), with a = 7.969 Å, b = 7.969 Å, c = 6.434 Å, α = 90.00°, β = 90.00° and γ = 90.00°. Symmetry generates all atoms from Sc at (0.000, 0.000, 0.000), Ag at (0.000, 0.000, 0.500) and Bi at (0.228, 0.750, 0.625).

The calculation puts the magnetization at 0.00 μB/f.u. Its formation energy is -0.11 eV per atom.



The following is a meta-GGA SCAN calculation of CdSi2Hg at its PBEsol-relaxed geometry, from the Alexandria database.

It has space group Cmm2 (No. 35), with a = 3.376 Å, b = 4.587 Å, c = 10.060 Å, α = 90.00°, β = 90.00° and γ = 90.00°. Symmetry generates all atoms from Cd at (0.000, 0.000, 0.000), Si at (0.000, 0.000, 0.438), Si at (0.000, 0.500, 0.258) and Hg at (0.000, 0.500, 0.710).

The calculation puts the magnetization at 0.00 μB/f.u. The energy relative to the elements, uncorrected is 49 kJ/mol of atoms.



The following is a meta-GGA SCAN calculation of Na2As2Ir at its PBEsol-relaxed geometry, from the Alexandria database.

It has space group P4/mbm (No. 127), with a = 6.253 Å, b = 6.253 Å, c = 4.904 Å, α = 90.00°, β = 90.00° and γ = 90.00°. Symmetry generates all atoms from Na at (0.181, 0.319, 0.000), As at (0.139, 0.639, 0.500) and Ir at (0.000, 0.000, 0.500).

The calculation puts the magnetization at 0.00 μB/f.u. Its formation energy is -0.54 eV per atom.



The following is a meta-GGA SCAN calculation of TaAs2OsW at its PBEsol-relaxed geometry, from the Alexandria database.

It has space group P4/mmm (No. 123), with a = 4.591 Å, b = 4.591 Å, c = 4.866 Å, α = 90.00°, β = 90.00° and γ = 90.00°. Symmetry generates all atoms from Ta at (0.000, 0.000, 0.000), As at (0.000, 0.500, 0.500), Os at (0.500, 0.500, 0.500) and W at (0.500, 0.500, 0.000).

The calculation puts the magnetization at 1.15 μB/f.u. Its formation energy is 1.65 eV per atom.



The following is a meta-GGA SCAN calculation of MnAgO3 at its PBEsol-relaxed geometry, from the Alexandria database.

It has space group R-3 (No. 148, hexagonal axes), with a = 4.9574 Å, b = 4.9574 Å, c = 15.4267 Å, α = 90.00°, β = 90.00° and γ = 120.00°. Symmetry generates all atoms from Mn at (0.0000, 0.0000, 0.1603), Ag at (0.0000, 0.0000, 0.3611) and O at (0.0075, 0.3901, 0.4320).

The calculation puts the magnetization at 2.00 μB/f.u. The energy relative to the elements, uncorrected is -125 kJ/mol of atoms.



Per-record E_tot, eV per atom: -55.914 -48.600 -22.415 -50.798 -29.147 -24.525 -48.056 -14.956